Computed, not measured: a relaxed structure of CsRb2Na6 at the PBE-GGA level of DFT.

Lattice parameters (Å, degrees): 19.621 11.213 4.528 90.00 90.27 90.00
Space group C2/m (No. 12)
Symmetry-distinct sites (fractional):
Cs: 0.000 0.000 0.000 [2 per cell]
Rb: 0.167 0.500 0.000 [4 per cell]
Na: 0.000 0.335 0.500 [4 per cell]
Na: 0.168 0.168 0.497 [8 per cell]

Magnetization = 0.00 μB/cell
ρ = 1.47 g/cm³
Calculated total energy = -20.6 eV per cell
DFT formation energy = 4.5 kJ per mole of atoms